Record 1
VASP calculation (PBE-GGA) on crystalline TmAlPd14 at its relaxed geometry.

Results
For the electronic total energy, the calculation gives -86.68 eV per cell. The crystal system is tetragonal. Its calculated volume is 252.0 Å³/cell.

Lattice parameters (Å, degrees): 5.6704 5.6704 7.8364 90.00 90.00 90.00
Space group P4/mmm (No. 123)
Asymmetric unit:
Tm (0.0000, 0.0000, 0.0000) x1
Al (0.5000, 0.5000, 0.0000) x1
Pd (0.0000, 0.0000, 0.5000) x1
Pd (0.0000, 0.5000, 0.0000) x2
Pd (0.0000, 0.5000, 0.5000) x2
Pd (0.2549, 0.2549, 0.2487) x8
Pd (0.5000, 0.5000, 0.5000) x1



Record 2
VASP calculation (PBE-GGA) on crystalline LiTcS2Cl at its relaxed geometry.

Results
For the electronic total energy, the calculation gives -19.62 eV per cell. As for the energy relative to the lowest polymorph listed for this composition: 0.916 eV per atom. The uncorrected formation energy is 0.5523 eV/atom. The crystal system is tetragonal. Its calculated volume is 91.4 Å³/cell.

Lattice parameters (Å, degrees): 4.5410 4.5410 4.4320 90.00 90.00 90.00
Space group P4/mmm (No. 123)
Asymmetric unit:
Li (0.0000, 0.0000, 0.0000) x1
Tc (0.5000, 0.5000, 0.5000) x1
S (0.0000, 0.5000, 0.0000) x2
Cl (0.0000, 0.0000, 0.5000) x1



Record 3
VASP calculation (PBE-GGA) on crystalline LiCe2Nd at its relaxed geometry.

Results
For the electronic total energy, the calculation gives -17.67 eV per cell. As for the energy relative to the lowest polymorph listed for this composition: 0.000 eV per atom. The crystal system is tetragonal. Its calculated volume is 115.0 Å³/cell.

Lattice parameters (Å, degrees): 3.3580 3.3580 10.1968 90.00 90.00 90.00
Space group P4/mmm (No. 123)
Asymmetric unit:
Li (0.0000, 0.0000, 0.0000) x1
Ce (0.5000, 0.5000, 0.2362) x2
Nd (0.0000, 0.0000, 0.5000) x1



Record 4
VASP calculation (PBE-GGA) on crystalline NdSb at its relaxed geometry.

Results
For the electronic total energy, the calculation gives -10.76 eV per cell. The uncorrected formation energy is -0.9363 eV/atom. The crystal system is tetragonal. Its calculated volume is 58.2 Å³/cell.

Lattice parameters (Å, degrees): 4.1415 4.1415 3.3955 90.00 90.00 90.00
Space group P4/mmm (No. 123)
Asymmetric unit:
Nd (0.0000, 0.0000, 0.0000) x1
Sb (0.5000, 0.5000, 0.5000) x1



Record 5
VASP calculation (PBE-GGA) on crystalline Sc3CuSi2 at its relaxed geometry.

Results
For the electronic total energy, the calculation gives -151.49 eV per cell. The uncorrected formation energy is -0.6558 eV/atom. The crystal system is orthorhombic. Its calculated volume is 442.8 Å³/cell.

Lattice parameters (Å, degrees): 10.6536 4.0014 10.3869 90.00 90.00 90.00
Space group Pnma (No. 62)
Asymmetric unit:
Sc (0.0517, 0.2500, 0.1207) x4
Sc (0.1283, 0.7500, 0.5694) x4
Sc (0.2105, 0.2500, 0.8072) x4
Cu (0.1309, 0.2500, 0.3675) x4
Si (0.0190, 0.7500, 0.3147) x4
Si (0.1905, 0.7500, 0.0065) x4



Record 6
VASP calculation (PBE-GGA) on crystalline Ce2SmDy3Er6 at its relaxed geometry.

Results
For the electronic total energy, the calculation gives -114.39 eV per cell. The crystal system is monoclinic. Its calculated volume is 741.5 Å³/cell.

Lattice parameters (Å, degrees): 6.1084 10.5766 11.6566 90.00 100.05 90.00
Space group C2/m (No. 12)
Asymmetric unit:
Ce (0.0000, 0.1666, 0.0000) x4
Sm (0.0000, 0.5000, 0.0000) x2
Dy (0.0000, 0.0000, 0.5000) x2
Dy (0.0000, 0.3338, 0.5000) x4
Er (0.2481, 0.0000, 0.2498) x4
Er (0.2483, 0.1679, 0.7502) x8